Crystalline CaRh2W at its relaxed geometry. Source: Alexandria via LeMat-Bulk, functional GGA-PBE.

a b c (Å): 6.3934 7.2851 2.8671
angles (deg): 90.00 90.00 90.00
Space group Cmmm (No. 65)
One atom of each set of equivalent atoms:
Ca1 0.0000 0.0000 0.0000 (multiplicity 2)
Rh1 0.2500 0.2500 0.5000 (multiplicity 4)
W1 0.0000 0.5000 0.0000 (multiplicity 2)

- theoretical density (Mg/m³) = 10.69
- E above lowest polymorph (eV/atom) = 0.1559
- energy relative to the elements (eV per atom) = 0.006



Crystalline HgSbI2Cl at its relaxed geometry. Source: Alexandria via LeMat-Bulk, functional GGA-PBE.

a b c (Å): 5.7427 5.7427 5.8025
angles (deg): 90.00 90.00 90.00
Space group P4/mmm (No. 123)
One atom of each set of equivalent atoms:
Hg1 0.0000 0.0000 0.0000 (multiplicity 1)
Sb1 0.0000 0.0000 0.5000 (multiplicity 1)
I1 0.0000 0.5000 0.0000 (multiplicity 2)
Cl1 0.5000 0.5000 0.5000 (multiplicity 1)

- theoretical density (Mg/m³) = 5.31
- uncorrected formation energy (eV/atom) = 0.4031
- E above lowest polymorph (eV/atom) = 0.6702



Crystalline Ca2ScTa at its relaxed geometry. Source: Alexandria via LeMat-Bulk, functional GGA-PBE.

a b c (Å): 4.5754 4.5754 10.2301
angles (deg): 90.00 90.00 90.00
Space group I4/mmm (No. 139)
One atom of each set of equivalent atoms:
Ca1 0.0000 0.5000 0.2500 (multiplicity 4)
Sc1 0.0000 0.0000 0.0000 (multiplicity 2)
Ta1 0.0000 0.0000 0.5000 (multiplicity 2)

- theoretical density (Mg/m³) = 4.75
- E above lowest polymorph (eV/atom) = 0.3231
- energy relative to the elements (eV per atom) = 0.683